Nd2HoErTh: optimized geometry, GGA-PBE.

Cell lengths 6.371, 8.473, 6.397 Å; angles 90.26, 90.00, 90.00 degrees
Sites, in units of the cell vectors:
Nd1 0.714 0.309 0.749
Nd2 0.714 0.691 0.751
Nd3 0.286 0.309 0.249
Nd4 0.286 0.691 0.251
Er1 0.807 0.500 0.250
Er2 0.193 0.500 0.750
Ho1 0.000 0.000 0.000
Ho2 0.000 0.000 0.500
Th1 0.556 0.000 0.250
Th2 0.444 0.000 0.750

The density of states at the Fermi level is 13.8 states/eV per cell. For the total energy, the calculation gives -49.09 eV for the cell shown. The space group is P2/c (13). The value obtained for the energy relative to the elements is 0.31 eV/atom. The value obtained for the calculated volume is 34.528 Å³ per atom.

Nd6Ho3Er2Th: optimized geometry, GGA-PBE.

Cell lengths 6.251, 6.251, 11.913 Å; angles 95.03, 95.03, 119.97 degrees
Sites, in units of the cell vectors:
Nd1 0.916 0.586 0.750
Nd2 0.084 0.414 0.250
Nd3 0.753 0.753 0.249
Nd4 0.247 0.247 0.751
Nd5 0.414 0.084 0.250
Nd6 0.586 0.916 0.750
Er1 0.667 0.333 0.000
Er2 0.333 0.667 0.000
Th1 0.000 0.000 0.000
Ho1 0.500 0.500 0.500
Ho2 0.167 0.833 0.500
Ho3 0.833 0.167 0.500

The density of states at the Fermi level is 15.8 states/eV per cell. For the total energy, the calculation gives -58.49 eV for the cell shown. The space group is C2/m (12). The value obtained for the energy relative to the elements is 0.03 eV/atom. The value obtained for the calculated volume is 33.082 Å³ per atom.

NdHo5ErTh2: optimized geometry, GGA-PBE.

Cell lengths 8.706, 8.706, 9.913 Å; angles 116.05, 116.05, 90.00 degrees
Sites, in units of the cell vectors:
Er1 0.750 0.750 0.500
Er2 0.250 0.250 0.500
Nd1 0.250 0.750 0.500
Nd2 0.750 0.250 0.500
Th1 0.620 0.120 0.000
Th2 0.120 0.380 0.000
Th3 0.880 0.620 0.000
Th4 0.380 0.880 0.000
Ho1 0.849 0.931 0.280
Ho2 0.431 0.349 0.280
Ho3 0.569 0.651 0.720
Ho4 0.349 0.849 0.280
Ho5 0.151 0.069 0.720
Ho6 0.069 0.569 0.720
Ho7 0.000 0.000 0.000
Ho8 0.500 0.500 0.000
Ho9 0.931 0.431 0.280
Ho10 0.651 0.151 0.720

The density of states at the Fermi level is 23.9 states/eV per cell. For the total energy, the calculation gives -88.09 eV for the cell shown. The space group is I4/mcm (140). The value obtained for the energy relative to the elements is 0.33 eV/atom. The value obtained for the calculated volume is 32.716 Å³ per atom.

Nd6Ho2ErTh: optimized geometry, GGA-PBE.

Cell lengths 9.683, 8.884, 8.884 Å; angles 116.15, 93.86, 93.86 degrees
Sites, in units of the cell vectors:
Nd1 0.689 0.008 0.573
Nd2 0.058 0.111 0.762
Nd3 0.189 0.573 0.008
Nd4 0.558 0.762 0.111
Nd5 0.311 0.992 0.427
Nd6 0.118 0.703 0.485
Nd7 0.442 0.238 0.889
Nd8 0.382 0.515 0.297
Nd9 0.811 0.427 0.992
Nd10 0.942 0.889 0.238
Nd11 0.882 0.297 0.515
Nd12 0.618 0.485 0.703
Ho1 0.051 0.293 0.202
Ho2 0.551 0.202 0.293
Ho3 0.949 0.707 0.798
Ho4 0.449 0.798 0.707
Th1 0.250 0.970 0.030
Th2 0.750 0.030 0.970
Er1 0.750 0.590 0.410
Er2 0.250 0.410 0.590

The density of states at the Fermi level is 28.3 states/eV per cell. For the total energy, the calculation gives -96.62 eV for the cell shown. The space group is C2/c (15). The value obtained for the energy relative to the elements is 0.14 eV/atom. The value obtained for the calculated volume is 34.019 Å³ per atom.